# 1
CsHgTe2N | the Alexandria database | GGA-PBE | optimized geometry; total magnetization = 1.8 μB per cell; raw formation energy = 657 meV/atom; total DFT energy (no corrections) = -2.50 eV/atom; distance to the lowest polymorph of the same formula = 0 meV/atom; symmetry = P4/mmm (123)
1.0
6.677 0.000 0.000
0.000 6.677 0.000
0.000 0.000 3.948
Cs Hg Te N
1 1 2 1
direct
0.000 0.000 0.000 Cs
0.500 0.500 0.500 Hg
0.000 0.500 0.500 Te
0.500 0.000 0.500 Te
0.500 0.500 0.000 N



# 2
LaTb2NdHo4 | the Alexandria database | GGA-PBE | optimized geometry; total magnetization = 0.0 μB per cell; total DFT energy (no corrections) = -4.64 eV/atom; DFT formation energy = 0.02 eV/atom; symmetry = P2/m (10)
1.0
7.183 0.000 0.000
0.000 7.194 0.000
-0.008 0.000 10.062
La Tb Nd Ho
2 4 2 8
direct
0.000 0.000 0.000 La
0.500 0.000 0.000 La
0.000 0.000 0.500 Tb
0.000 0.500 0.000 Tb
0.000 0.500 0.500 Tb
0.500 0.500 0.500 Tb
0.500 0.000 0.500 Nd
0.500 0.500 0.000 Nd
0.248 0.253 0.254 Ho
0.248 0.747 0.254 Ho
0.249 0.253 0.746 Ho
0.249 0.747 0.746 Ho
0.751 0.253 0.254 Ho
0.751 0.747 0.254 Ho
0.752 0.253 0.746 Ho
0.752 0.747 0.746 Ho



# 3
ScAl2W | the Alexandria database | GGA-PBE | optimized geometry; total magnetization = 0.3 μB per cell; total DFT energy (no corrections) = -6.73 eV/atom; DFT formation energy = -0.04 eV/atom; distance to the lowest polymorph of the same formula = 166 meV/atom; symmetry = Cm (8)
1.0
4.983 -1.402 0.000
4.983 1.402 0.000
-1.003 0.000 4.852
Sc Al W
1 2 1
direct
0.000 0.000 0.000 Sc
0.481 0.481 0.501 Al
0.757 0.757 0.215 Al
0.225 0.225 0.693 W



# 4
La3Pr2Nd8 | the Alexandria database | GGA-PBE | optimized geometry; total magnetization = 0.0 μB per cell; total DFT energy (no corrections) = -4.60 eV/atom; DFT formation energy = 0.21 eV/atom; distance to the lowest polymorph of the same formula = 73 meV/atom; symmetry = C2/m (12)
1.0
10.520 -3.907 0.000
10.520 3.907 0.000
-0.003 0.000 5.831
La Pr Nd
3 2 8
direct
0.000 0.000 0.000 La
0.294 0.706 0.500 La
0.706 0.294 0.500 La
0.242 0.242 0.999 Pr
0.758 0.758 0.001 Pr
0.134 0.134 0.500 Nd
0.185 0.602 0.000 Nd
0.328 0.328 0.499 Nd
0.398 0.815 0.000 Nd
0.602 0.185 0.000 Nd
0.672 0.672 0.501 Nd
0.815 0.398 0.000 Nd
0.866 0.866 0.500 Nd



# 5
SmTmLuAl | the Alexandria database | GGA-PBE | optimized geometry; total magnetization = 0.0 μB per cell; total DFT energy (no corrections) = -4.44 eV/atom; DFT formation energy = -0.07 eV/atom; symmetry = F-43m (216)
1.0
0.000 3.761 3.761
3.761 0.000 3.761
3.761 3.761 0.000
Sm Tm Lu Al
1 1 1 1
direct
0.000 0.000 0.000 Sm
0.500 0.500 0.500 Tm
0.750 0.750 0.750 Lu
0.250 0.250 0.250 Al



# 6
GaSbTe2As | the Alexandria database | GGA-PBE | optimized geometry; total magnetization = 0.0 μB per cell; raw formation energy = 685 meV/atom; total DFT energy (no corrections) = -2.93 eV/atom; distance to the lowest polymorph of the same formula = 226 meV/atom; symmetry = P4/mmm (123)
1.0
5.283 0.000 0.000
0.000 5.283 0.000
0.000 0.000 5.325
Ga Sb Te As
1 1 2 1
direct
0.000 0.000 0.000 Ga
0.000 0.000 0.500 Sb
0.000 0.500 0.000 Te
0.500 0.000 0.000 Te
0.500 0.500 0.500 As